Ac6ZnCd3 | PBE | optimized geometry

Its energy relative to the elements is -16.5 kJ per mole of atoms.

It has space group P2_1/m (No. 11), with a = 9.9853 Å, b = 5.7706 Å, c = 12.8606 Å, α = 90.00°, β = 108.63° and γ = 90.00°. The inequivalent atoms are Ac at (0.0226, 0.2500, 0.4075), Ac at (0.1623, 0.7500, 0.1730), Ac at (0.2514, 0.2500, 0.9988), Ac at (0.3546, 0.7500, 0.8266), Ac at (0.3710, 0.2500, 0.3494), Ac at (0.3952, 0.2500, 0.6350), Zn at (0.4551, 0.7500, 0.0963), Cd at (0.0311, 0.7500, 0.8784), Cd at (0.1108, 0.2500, 0.7202) and Cd at (0.2692, 0.7500, 0.4703).

***

Tb2CeTe4 | PBE | optimized geometry

Its uncorrected formation energy is -1.38 eV/atom. The calculation puts the offset from the most stable computed form at 0 meV per atom.

It has space group Cmcm (No. 63), with a = 4.3418 Å, b = 14.3978 Å, c = 15.0182 Å, α = 90.00°, β = 90.00° and γ = 90.00°. The inequivalent atoms are Tb at (0.0000, 0.1321, 0.0659), Ce at (0.0000, 0.3787, 0.2500), Te at (0.0000, 0.0429, 0.2500), Te at (0.0000, 0.2254, 0.6218) and Te at (0.0000, 0.5000, 0.0000).

***

Tl2IrPb4 | PBE | optimized geometry

Its energy relative to the elements is 25.3 kJ per mole of atoms.

It has space group I4/mmm (No. 139), with a = 5.2102 Å, b = 5.2102 Å, c = 17.3381 Å, α = 90.00°, β = 90.00° and γ = 90.00°. The inequivalent atoms are Tl at (0.0000, 0.0000, 0.1475), Ir at (0.0000, 0.0000, 0.5000), Pb at (0.0000, 0.0000, 0.3361) and Pb at (0.0000, 0.5000, 0.0000).

***

Spin magnetization list, top to bottom, in μB per cell: 0.00; 5.42; 0.00
Uncorrected energy list, top to bottom, in eV per atom: -3.038; -5.346; -3.799